1.
A plane-wave DFT calculation with PBE was carried out for a relaxed Tm3HfFe8 crystal.

Computed properties:
- VASP energy (eV/cell) = -93.35
- energy of formation from the pure elements (eV per atom) = -0.19

Cell lengths 8.7285, 8.7285, 8.7285 Å; angles 33.59, 33.59, 33.59 degrees
Closest atoms and distances in Å follow each position.
Fractional positions:
Tm  0.0000  0.0000  0.0000  12 Fe 2.92-2.96, 3 Hf 3.09, 1 Tm 3.09
Tm  0.1252  0.1252  0.1252  12 Fe 2.96-2.99, 4 Tm 3.09
Tm  0.5004  0.5004  0.5004  12 Fe 2.96-3.00, 1 Hf 3.07, 3 Tm 3.09
Hf  0.6249  0.6249  0.6249  12 Fe 2.92-2.96, 4 Tm 3.07-3.09
Fe  0.0585  0.5622  0.5622  6 Fe 2.50-2.55
Fe  0.0635  0.0635  0.5656  6 Fe 2.49-2.55
Fe  0.0635  0.5656  0.0635  6 Fe 2.49-2.55
Fe  0.3124  0.3124  0.3124  6 Fe 2.49-2.50
Fe  0.5621  0.0585  0.5621  6 Fe 2.50-2.55
Fe  0.5621  0.5622  0.0585  6 Fe 2.50-2.55
Fe  0.5656  0.0635  0.0635  6 Fe 2.49-2.55
Fe  0.8126  0.8126  0.8126  6 Fe 2.55

---

2.
A plane-wave DFT calculation with PBE was carried out for a relaxed LiNb2P2O10 crystal.

Computed properties:
- E above lowest polymorph (eV/atom) = 0.000
- VASP energy (eV/cell) = -117.34
- E_form (uncorrected) (eV per formula unit) = -34.9

Cell lengths 6.6485, 6.6485, 4.1471 Å; angles 91.57, 91.57, 88.08 degrees
Closest atoms and distances in Å follow each position.
Fractional positions:
Li  0.0000  0.0000  0.0000  4 O 2.03
Nb  0.2630  0.2630  0.7575  3 O 1.82-2.02
Nb  0.7370  0.7370  0.2425  3 O 1.82-2.02
P  0.2463  0.7537  0.5000  4 O 1.54-1.55
P  0.7537  0.2463  0.5000  4 O 1.54-1.55
O  0.0542  0.7584  0.2811  1 P 1.55
O  0.2416  0.9458  0.7189  1 P 1.55
O  0.2482  0.2482  0.1944  1 Nb 1.82
O  0.2478  0.5643  0.7050  1 P 1.54
O  0.4357  0.7522  0.2950  1 P 1.54
O  0.5643  0.2478  0.7050  1 P 1.54
O  0.7522  0.4357  0.2950  1 P 1.54
O  0.7518  0.7518  0.8056  1 Nb 1.82
O  0.7584  0.0542  0.2811  1 P 1.55
O  0.9458  0.2416  0.7189  1 P 1.55

---

3.
A plane-wave DFT calculation with PBE was carried out for a relaxed Tb3Er7Tl2 crystal.

Computed properties:
- VASP energy (eV/cell) = -50.82
- energy of formation from the pure elements (eV per atom) = -0.02

Cell lengths 5.5984, 3.5833, 18.2588 Å; angles 90.00, 93.28, 90.00 degrees
Closest atoms and distances in Å follow each position.
Fractional positions:
Tb  0.0000  0.0000  0.0000  10 Er 3.32-3.69, 2 Tb 3.58
Tb  0.2731  0.5000  0.6326  2 Tb 3.58, 4 Tl 3.59-3.61, 6 Er 3.64-3.72
Tb  0.7269  0.5000  0.3674  2 Tb 3.58, 4 Tl 3.59-3.61, 6 Er 3.64-3.72
Er  0.1702  0.5000  0.1483  2 Tl 3.17, 5 Er 3.33-3.36, 2 Tb 3.34
Er  0.2422  0.0000  0.4586  1 Tl 3.04, 2 Er 3.18
Er  0.3283  0.0000  0.8305  8 Er 3.33-3.66, 2 Tl 3.51-3.65, 1 Tb 3.69
Er  0.5000  0.5000  0.0000  4 Tb 3.32, 8 Er 3.36-3.66
Er  0.6717  0.0000  0.1695  8 Er 3.33-3.66, 2 Tl 3.51-3.65, 1 Tb 3.69
Er  0.7578  0.0000  0.5414  1 Tl 3.04, 2 Er 3.18
Er  0.8298  0.5000  0.8517  2 Tl 3.17, 5 Er 3.33-3.36, 2 Tb 3.34
Tl  0.2103  0.0000  0.2919  3 Er 3.04-3.17
Tl  0.7897  0.0000  0.7081  3 Er 3.04-3.17

---

4.
A plane-wave DFT calculation with PBE was carried out for a relaxed Cs3Pm4S8 crystal.

Computed properties:
- VASP energy (eV/cell) = -75.85
- E_form (uncorrected) (eV per formula unit) = -21.3

Cell lengths 8.6985, 8.6985, 8.5536 Å; angles 118.74, 118.74, 89.20 degrees
Closest atoms and distances in Å follow each position.
Fractional positions:
Cs  0.0000  0.0000  0.0000  6 S 3.32-3.46
Cs  0.0000  0.5000  0.0000  6 S 3.10-3.17
Cs  0.5000  0.0000  0.0000  6 S 3.10-3.17
Pm  0.0000  0.5000  0.5000  6 S 3.07-3.17
Pm  0.5000  0.0000  0.5000  6 S 3.07-3.17
Pm  0.5000  0.5000  0.0000  6 S 2.78-2.94
Pm  0.5000  0.5000  0.5000  6 S 2.77-2.93
S  0.2688  0.7312  0.5000  3 Pm 2.82-3.11
S  0.2722  0.7278  0.0000  1 Pm 2.78, 2 Cs 3.11
S  0.2796  0.2796  0.5340  4 Pm 2.93-3.07
S  0.3062  0.3062  0.0609  2 Pm 2.77-2.78, 2 Cs 3.10
S  0.6938  0.6938  0.9391  2 Pm 2.77-2.78, 2 Cs 3.10
S  0.7204  0.7204  0.4660  4 Pm 2.93-3.07
S  0.7278  0.2722  0.0000  1 Pm 2.78, 2 Cs 3.11
S  0.7312  0.2688  0.5000  3 Pm 2.82-3.11

---

5.
A plane-wave DFT calculation with PBE was carried out for a relaxed CeHoTm14 crystal.

Computed properties:
- VASP energy (eV/cell) = -72.76
- energy of formation from the pure elements (eV per atom) = 0.02

Cell lengths 11.2853, 7.0211, 7.0211 Å; angles 60.06, 90.00, 90.00 degrees
Closest atoms and distances in Å follow each position.
Fractional positions:
Ce  0.0000  0.0000  0.0000  10 Tm 3.48-3.51, 2 Ho 3.51
Ho  0.0000  0.5000  0.5000  10 Tm 3.49-3.52, 2 Ce 3.51
Tm  0.0000  0.0007  0.5001  8 Tm 3.48-3.52, 2 Ho 3.51-3.52, 2 Ce 3.51
Tm  0.0000  0.5001  0.0007  8 Tm 3.48-3.52, 2 Ho 3.51-3.52, 2 Ce 3.51
Tm  0.2511  0.1662  0.1662  11 Tm 3.46-3.53, 1 Ce 3.48
Tm  0.2510  0.6672  0.6672  11 Tm 3.46-3.51, 1 Ho 3.49
Tm  0.2516  0.1659  0.6692  10 Tm 3.46-3.54, 1 Ce 3.48, 1 Ho 3.49
Tm  0.2516  0.6692  0.1659  10 Tm 3.46-3.54, 1 Ce 3.48, 1 Ho 3.49
Tm  0.5000  0.3339  0.3339  12 Tm 3.47-3.51
Tm  0.5000  0.3350  0.8335  12 Tm 3.46-3.52
Tm  0.5000  0.8333  0.8333  12 Tm 3.46-3.52
Tm  0.5000  0.8335  0.3350  12 Tm 3.46-3.52
Tm  0.7484  0.1659  0.6692  10 Tm 3.46-3.54, 1 Ce 3.48, 1 Ho 3.49
Tm  0.7484  0.6692  0.1659  10 Tm 3.46-3.54, 1 Ce 3.48, 1 Ho 3.49
Tm  0.7489  0.1662  0.1662  11 Tm 3.46-3.53, 1 Ce 3.48
Tm  0.7490  0.6672  0.6672  11 Tm 3.46-3.51, 1 Ho 3.49

---

6.
A plane-wave DFT calculation with PBE was carried out for a relaxed CaTi2BiI crystal.

Computed properties:
- VASP energy (eV/cell) = -21.02
- E_form (uncorrected) (eV per formula unit) = 2.2

Cell lengths 5.4079, 5.4079, 6.1658 Å; angles 90.00, 90.00, 90.00 degrees
Closest atoms and distances in Å follow each position.
Fractional positions:
Ca  0.0000  0.0000  0.0000  2 Bi 3.08
Ti  0.0000  0.5000  0.5000  2 Bi 2.70
Ti  0.5000  0.0000  0.5000  2 Bi 2.70
Bi  0.0000  0.0000  0.5000  4 Ti 2.70
I  0.5000  0.5000  0.0000  4 Ca 3.82, 8 Ti 4.10